Run a
A relaxed structure of ZnPbSO, computed with PBE-GGA.

space-group type = Pbam (55)

abc: 9.626 18.938 3.907
angles: 90.00 90.00 90.00
Element x y z (fractional)
O  0.194  0.049  0.000
O  0.213  0.202  0.000
O  0.713  0.298  0.000
O  0.694  0.451  0.000
O  0.306  0.549  0.000
O  0.287  0.702  0.000
O  0.787  0.798  0.000
O  0.806  0.951  0.000
Pb  0.741  0.012  0.500
Pb  0.677  0.232  0.500
Pb  0.177  0.268  0.500
Pb  0.241  0.488  0.500
Pb  0.759  0.512  0.500
Pb  0.823  0.732  0.500
Pb  0.323  0.768  0.500
Pb  0.259  0.988  0.500
S  0.475  0.106  0.500
S  0.929  0.144  0.500
S  0.429  0.356  0.500
S  0.975  0.394  0.500
S  0.025  0.606  0.500
S  0.571  0.644  0.500
S  0.071  0.856  0.500
S  0.525  0.894  0.500
Zn  0.353  0.126  0.000
Zn  0.055  0.127  0.000
Zn  0.555  0.373  0.000
Zn  0.853  0.374  0.000
Zn  0.147  0.626  0.000
Zn  0.445  0.627  0.000
Zn  0.945  0.873  0.000
Zn  0.647  0.874  0.000


Run b
A relaxed structure of ZnPbSO, computed with PBE-GGA.

space-group type = Pca2_1 (29)

abc: 5.995 9.062 5.817
angles: 90.00 90.00 90.00
Element x y z (fractional)
O  0.098  0.071  0.135
O  0.598  0.929  0.135
O  0.402  0.071  0.635
O  0.902  0.929  0.635
Pb  0.000  0.329  0.067
Pb  0.500  0.671  0.067
Pb  0.500  0.329  0.567
Pb  0.000  0.671  0.567
S  0.509  0.322  0.064
S  0.009  0.678  0.064
S  0.991  0.322  0.564
S  0.491  0.678  0.564
Zn  0.099  0.073  0.485
Zn  0.599  0.927  0.485
Zn  0.401  0.073  0.985
Zn  0.901  0.927  0.985


It is run b that is most stable; the runner-up trails by 4.5 kJ/mol of atoms.


Run a
A relaxed structure of KNbTe, computed with PBE-GGA.

space-group type = F-43m (216)

abc: 5.208 5.208 5.208
angles: 60.00 60.00 60.00
Element x y z (fractional)
K  0.250  0.250  0.250
Nb  0.750  0.750  0.750
Te  0.000  0.000  0.000


Run b
A relaxed structure of KNbTe, computed with PBE-GGA.

space-group type = F-43m (216)

abc: 5.258 5.258 5.258
angles: 60.00 60.00 60.00
Element x y z (fractional)
K  0.000  0.000  0.000
Nb  0.250  0.250  0.250
Te  0.750  0.750  0.750


It is run a that is most stable; the runner-up trails by 51.9 kJ/mol of atoms.


Run a
A relaxed structure of Pt15Pb, computed with PBE-GGA.

space-group type = P2_1/m (11)

abc: 5.556 3.960 35.764
angles: 90.00 90.01 90.00
Element x y z (fractional)
Pb  0.625  0.250  0.190
Pb  0.375  0.750  0.810
Pt  0.125  0.250  0.208
Pt  0.378  0.750  0.241
Pt  0.873  0.750  0.241
Pt  0.625  0.250  0.280
Pt  0.125  0.250  0.285
Pt  0.378  0.750  0.322
Pt  0.872  0.750  0.322
Pt  0.625  0.250  0.361
Pt  0.125  0.250  0.362
Pt  0.376  0.750  0.401
Pt  0.874  0.750  0.402
Pt  0.125  0.250  0.441
Pt  0.625  0.250  0.441
Pt  0.375  0.750  0.480
Pt  0.875  0.750  0.480
Pt  0.125  0.250  0.520
Pt  0.625  0.250  0.520
Pt  0.375  0.750  0.559
Pt  0.875  0.750  0.559
Pt  0.126  0.250  0.598
Pt  0.624  0.250  0.599
Pt  0.875  0.750  0.638
Pt  0.375  0.750  0.639
Pt  0.128  0.250  0.678
Pt  0.622  0.250  0.678
Pt  0.875  0.750  0.715
Pt  0.375  0.750  0.720
Pt  0.127  0.250  0.759
Pt  0.622  0.250  0.759
Pt  0.875  0.750  0.792


Run b
A relaxed structure of Pt15Pb, computed with PBE-GGA.

space-group type = P2_1/m (11)

abc: 5.571 2.844 44.733
angles: 90.00 90.00 90.00
Element x y z (fractional)
Pb  0.625  0.750  0.158
Pb  0.375  0.250  0.842
Pt  0.125  0.750  0.171
Pt  0.380  0.250  0.213
Pt  0.870  0.250  0.213
Pt  0.625  0.750  0.257
Pt  0.125  0.750  0.258
Pt  0.376  0.250  0.302
Pt  0.874  0.250  0.302
Pt  0.625  0.750  0.346
Pt  0.125  0.750  0.346
Pt  0.375  0.250  0.390
Pt  0.875  0.250  0.390
Pt  0.625  0.750  0.434
Pt  0.125  0.750  0.434
Pt  0.375  0.250  0.478
Pt  0.875  0.250  0.478
Pt  0.125  0.750  0.522
Pt  0.625  0.750  0.522
Pt  0.875  0.250  0.566
Pt  0.375  0.250  0.566
Pt  0.125  0.750  0.610
Pt  0.625  0.750  0.610
Pt  0.875  0.250  0.654
Pt  0.375  0.250  0.654
Pt  0.126  0.750  0.698
Pt  0.624  0.750  0.698
Pt  0.875  0.250  0.742
Pt  0.375  0.250  0.743
Pt  0.130  0.750  0.787
Pt  0.620  0.750  0.787
Pt  0.875  0.250  0.829


It is run a that is most stable; the runner-up trails by 1.4 kJ/mol of atoms.


Run a
A relaxed structure of SmSbAsO, computed with PBE-GGA.

space-group type = P4/nmm (129)

abc: 4.108 4.108 10.473
angles: 90.00 90.00 90.00
Element x y z (fractional)
As  0.000  0.500  0.273
As  0.500  0.000  0.727
O  0.000  0.000  0.000
O  0.500  0.500  0.000
Sb  0.000  0.000  0.500
Sb  0.500  0.500  0.500
Sm  0.500  0.000  0.105
Sm  0.000  0.500  0.895


Run b
A relaxed structure of SmSbAsO, computed with PBE-GGA.

space-group type = P4/nmm (129)

abc: 4.711 4.711 7.732
angles: 90.00 90.00 90.00
Element x y z (fractional)
As  0.750  0.750  0.289
As  0.250  0.250  0.711
O  0.750  0.250  0.000
O  0.250  0.750  0.000
Sb  0.250  0.250  0.067
Sb  0.750  0.750  0.933
Sm  0.750  0.250  0.500
Sm  0.250  0.750  0.500


It is run a that is most stable; the runner-up trails by 71.3 kJ/mol of atoms.


Run a
A relaxed structure of AcHgNO, computed with PBE-GGA.

space-group type = P4/nmm (129)

abc: 5.507 5.507 4.754
angles: 90.00 90.00 90.00
Element x y z (fractional)
Ac  0.750  0.250  0.500
Ac  0.250  0.750  0.500
Hg  0.750  0.750  0.002
Hg  0.250  0.250  0.998
N  0.250  0.250  0.498
N  0.750  0.750  0.502
O  0.750  0.250  0.000
O  0.250  0.750  0.000


Run b
A relaxed structure of AcHgNO, computed with PBE-GGA.

space-group type = Pmc2_1 (26)

abc: 4.515 6.500 7.548
angles: 90.00 90.00 90.00
Element x y z (fractional)
Ac  0.500  0.944  0.164
Ac  0.500  0.444  0.836
Hg  0.000  0.636  0.494
Hg  0.000  0.136  0.506
N  0.000  0.890  0.331
N  0.000  0.390  0.669
O  0.500  0.285  0.103
O  0.500  0.785  0.897


It is run b that is most stable; the runner-up trails by 13.9 kJ/mol of atoms.